## TaGeAsSe2 (SCAN)

Data for a crystal of TaGeAsSe2 relaxed with PBEsol.

## Properties
VASP energy: -144.57 eV/f.u.
Raw formation energy: 0.290 eV/atom
M_tot: 0.0 μB per formula unit

abc: 4.9239 4.9239 5.0288
angles: 90.00 90.00 90.00
With the nearest neighbours (Å) after each atom.
Sites, in units of the cell vectors:
1 As 0.0000 0.0000 0.5000  2 Ta 2.51
2 Ge 0.5000 0.5000 0.5000  4 As 3.48, 8 Se 3.52
3 Se 0.0000 0.5000 0.0000  2 Ta 2.46
4 Se 0.5000 0.0000 0.0000  2 Ta 2.46
5 Ta 0.0000 0.0000 0.0000  4 Se 2.46, 2 As 2.51

***

## Na3HoTi2Nb2O12 (SCAN)

Data for a crystal of Na3HoTi2Nb2O12 relaxed with PBEsol.

## Properties
VASP energy: -294.46 eV/f.u.
Raw formation energy: -2.986 eV/atom
M_tot: 0.0 μB per formula unit
Energy above the lowest structure with this stoichiometry: 0.6 kJ/mol of atoms

abc: 5.3755 5.5213 7.6910
angles: 89.99 89.95 89.19
With the nearest neighbours (Å) after each atom.
Sites, in units of the cell vectors:
1 Na 0.4953 0.5316 0.7486  4 O 2.30-2.51
2 Na 0.9945 0.0049 0.7518  3 O 2.32-2.34
3 Na 0.5108 0.4607 0.2503  7 O 2.36-2.62
4 Ho 0.9910 0.9326 0.2505  8 O 2.27-2.46
5 Ti 0.4889 0.9857 0.0065  5 O 1.86-2.02
6 Ti 0.0040 0.4788 0.4954  5 O 1.86-2.07
7 Nb 0.4928 0.9955 0.5090  6 O 1.92-2.13
8 Nb 0.0042 0.4783 0.9910  6 O 1.90-2.12
9 O 0.5631 0.9805 0.7541  1 Nb 1.92, 1 Ti 1.98
10 O 0.9231 0.4944 0.7458  1 Nb 1.94, 1 Ti 1.98
11 O 0.3999 0.0336 0.2472  1 Ti 1.93, 1 Nb 2.08
12 O 0.0772 0.5297 0.2521  1 Ti 1.93, 1 Nb 2.07
13 O 0.2008 0.8069 0.9802  1 Ti 1.86
14 O 0.2992 0.3097 0.5366  1 Ti 1.86, 1 Nb 2.02
15 O 0.8085 0.2070 0.4471  1 Ti 1.88
16 O 0.7175 0.7310 0.0534  1 Ti 1.89
17 O 0.8059 0.2020 0.0531  1 Nb 1.93, 1 Ti 2.13
18 O 0.7214 0.7288 0.4459  1 Nb 1.97, 1 Ti 2.07
19 O 0.1961 0.8066 0.5208  1 Nb 1.92, 1 Ti 2.11
20 O 0.3058 0.3014 0.9603  1 Nb 1.90, 1 Ti 2.02

***

## La2Sb (SCAN)

Data for a crystal of La2Sb relaxed with PBEsol.

## Properties
VASP energy: -126.52 eV/f.u.
Raw formation energy: -1.017 eV/atom
M_tot: 0.0 μB per formula unit

abc: 4.5627 4.5627 9.5705
angles: 103.79 103.79 90.00
With the nearest neighbours (Å) after each atom.
Sites, in units of the cell vectors:
1 Sb 0.1374 0.1374 0.2749  9 La 3.30-3.37
2 Sb 0.8626 0.8626 0.7251  9 La 3.30-3.37
3 La 0.6796 0.6796 0.3591  5 Sb 3.30-3.31
4 La 0.3204 0.3204 0.6409  5 Sb 3.30-3.31
5 La 0.5000 0.0000 0.0000  4 La 3.23, 4 Sb 3.37
6 La 0.0000 0.5000 0.0000  4 La 3.23, 4 Sb 3.37